The following is a DFT calculation (PBE) of PaTaRhO6 after structural relaxation.

Unit cell a=5.5664 b=5.5664 c=8.7338 alpha=90.00 beta=90.00 gamma=120.00
Last column: magnetic moment on the atom in μB.
Fractional coordinates of all 18 atoms:
O 0.9746 0.6423 0.3700  0.01
O 0.0254 0.3577 0.6300  0.01
O 0.3577 0.0254 0.1300  0.01
O 0.3577 0.3324 0.3700  0.01
O 0.6423 0.9746 0.8700  0.01
O 0.3324 0.3577 0.8700  0.01
O 0.6676 0.6423 0.1300  0.01
O 0.9746 0.3324 0.1300  0.01
O 0.6423 0.6676 0.6300  0.01
O 0.0254 0.6676 0.8700  0.01
O 0.3324 0.9746 0.6300  0.01
O 0.6676 0.0254 0.3700  0.01
Rh 0.0000 0.0000 0.0000  0.73
Rh 0.0000 0.0000 0.5000  0.73
Ta 0.6667 0.3333 0.2500  0.09
Ta 0.3333 0.6667 0.7500  0.09
Pa 0.3333 0.6667 0.2500  0.10
Pa 0.6667 0.3333 0.7500  0.10

Calculated values
Crystal system = trigonal
ΔE_f (raw) = -2.35 eV/atom
Calculated volume = 234 Å³ per cell
Space-group type = No. 163